CrSb2As: optimized geometry, GGA-PBE.

CIF file:
```
data_CrSb2As
_chemical_formula_sum 'Cr1 Sb2 As1'
_cell_length_a 4.708
_cell_length_b 3.982
_cell_length_c 5.255
_cell_angle_alpha 90.00
_cell_angle_beta 108.93
_cell_angle_gamma 90.00
_space_group_name_H-M_alt 'P 1 m 1'
_space_group_IT_number 6
_space_group_name_Hall 'P -2y'
loop_
_atom_site_label
_atom_site_type_symbol
_atom_site_fract_x
_atom_site_fract_y
_atom_site_fract_z
Cr1 Cr 0.000 0.000 0.000
Sb1 Sb 0.289 0.500 0.797
Sb2 Sb 0.535 0.000 0.479
As1 As 0.808 0.500 0.205
```

* raw formation energy: 182 meV/atom
* M_tot: 0.79 μB/atom

Pm3NdTm3Te8: optimized geometry, GGA-PBE.

CIF file:
```
data_Pm3NdTm3Te8
_chemical_formula_sum 'Pm9 Nd3 Tm9 Te24'
_cell_length_a 8.7426
_cell_length_b 8.7426
_cell_length_c 21.4517
_cell_angle_alpha 90.00
_cell_angle_beta 90.00
_cell_angle_gamma 120.00
_space_group_name_H-M_alt 'R -3 m'
_space_group_IT_number 166
_space_group_name_Hall '-R 3 2"'
loop_
_atom_site_label
_atom_site_type_symbol
_atom_site_fract_x
_atom_site_fract_y
_atom_site_fract_z
Pm1 Pm 0.0000 0.5000 0.0000
Nd1 Nd 0.0000 0.0000 0.5000
Tm1 Tm 0.0000 0.5000 0.5000
Te1 Te 0.0000 0.0000 0.2456
Te2 Te 0.0193 0.5097 0.7497
```

* raw formation energy: -1378 meV/atom
* M_tot: 0.00 μB/atom

Rb3Ac2MnSe6: optimized geometry, GGA-PBE.

CIF file:
```
data_Rb3Ac2MnSe6
_chemical_formula_sum 'Rb6 Ac4 Mn2 Se12'
_cell_length_a 7.583
_cell_length_b 13.308
_cell_length_c 8.435
_cell_angle_alpha 90.00
_cell_angle_beta 107.60
_cell_angle_gamma 90.00
_space_group_name_H-M_alt 'C 1 2/m 1'
_space_group_IT_number 12
_space_group_name_Hall '-C 2y'
loop_
_atom_site_label
_atom_site_type_symbol
_atom_site_fract_x
_atom_site_fract_y
_atom_site_fract_z
Rb1 Rb 0.000 0.000 0.000
Rb2 Rb 0.000 0.331 0.000
Ac1 Ac 0.000 0.168 0.500
Mn1 Mn 0.000 0.500 0.500
Se1 Se 0.219 0.500 0.316
Se2 Se 0.222 0.348 0.702
```

* raw formation energy: -1353 meV/atom
* M_tot: 0.33 μB/atom

Going through the records in order, we get final energy values of -21.79, -234.73, -114.87 eV per cell.